Run w
This record from the Alexandria database describes an optimized crystal structure of CeTcSn. The functional is PBE.

Structure (POSCAR):
```
CeTcSn
1.0
5.886 -2.453 0.000
5.886 2.453 0.000
-1.347 0.000 4.791
Ce Tc Sn
2 2 2
Direct
0.133 0.133 0.333
0.867 0.867 0.667
0.188 0.188 0.830
0.812 0.812 0.170
0.417 0.417 0.188
0.583 0.583 0.812
```

* N(E_F): 1.7 states/eV/f.u.


Run x
This record from the Alexandria database describes an optimized crystal structure of CeTcSn. The functional is PBE.

Structure (POSCAR):
```
CeTcSn
1.0
5.478 -2.272 0.000
5.478 2.272 0.000
-4.713 0.000 5.623
Ce Tc Sn
2 2 2
Direct
0.060 0.060 0.316
0.940 0.940 0.684
0.370 0.370 0.326
0.630 0.630 0.674
0.325 0.325 0.897
0.675 0.675 0.103
```

* N(E_F): 4.5 states/eV/f.u.


Last place for stability: run x


Run w
This record from the Alexandria database describes an optimized crystal structure of Ce4SnTe3. The functional is PBE.

Structure (POSCAR):
```
Ce4SnTe3
1.0
4.472 -6.374 0.000
4.472 6.374 0.000
0.000 0.000 4.531
Ce Sn Te
4 1 3
Direct
0.247 0.247 0.500
0.248 0.752 0.000
0.752 0.248 0.000
0.753 0.753 0.500
0.000 0.000 0.000
0.000 0.500 0.500
0.500 0.000 0.500
0.500 0.500 0.000
```

* N(E_F): 28.2 states/eV/f.u.


Run x
This record from the Alexandria database describes an optimized crystal structure of Ce4SnTe3. The functional is PBE.

Structure (POSCAR):
```
Ce4SnTe3
1.0
6.355 0.000 0.000
0.000 6.355 0.000
0.000 0.000 6.355
Ce Sn Te
4 1 3
Direct
0.000 0.000 0.000
0.000 0.500 0.500
0.500 0.000 0.500
0.500 0.500 0.000
0.500 0.500 0.500
0.000 0.000 0.500
0.000 0.500 0.000
0.500 0.000 0.000
```

* N(E_F): 29.5 states/eV/f.u.


Last place for stability: run w


Run w
This record from the Alexandria database describes an optimized crystal structure of Ce5ThSn3. The functional is PBE.

Structure (POSCAR):
```
Ce5ThSn3
1.0
9.507 0.000 0.000
-4.754 8.234 0.000
0.000 0.000 6.615
Ce Th Sn
10 2 6
Direct
0.000 0.335 0.250
0.000 0.665 0.750
0.333 0.667 0.000
0.333 0.667 0.500
0.335 0.000 0.250
0.335 0.335 0.750
0.665 0.000 0.750
0.665 0.665 0.250
0.667 0.333 0.000
0.667 0.333 0.500
0.000 0.000 0.000
0.000 0.000 0.500
0.000 0.332 0.750
0.000 0.668 0.250
0.332 0.000 0.750
0.332 0.332 0.250
0.668 0.000 0.250
0.668 0.668 0.750
```

* N(E_F): 23.0 states/eV/f.u.


Run x
This record from the Alexandria database describes an optimized crystal structure of Ce5ThSn3. The functional is PBE.

Structure (POSCAR):
```
Ce5ThSn3
1.0
-4.013 4.013 8.345
4.013 -4.013 8.345
4.013 4.013 -8.345
Ce Th Sn
10 2 6
Direct
0.000 0.000 0.000
0.058 0.558 0.884
0.174 0.058 0.500
0.326 0.826 0.884
0.442 0.326 0.500
0.500 0.500 0.000
0.558 0.674 0.500
0.674 0.174 0.116
0.826 0.942 0.500
0.942 0.442 0.116
0.250 0.750 0.500
0.750 0.250 0.500
0.123 0.377 0.500
0.250 0.250 0.000
0.377 0.877 0.255
0.623 0.123 0.745
0.750 0.750 0.000
0.877 0.623 0.500
```

* N(E_F): 25.4 states/eV/f.u.


Last place for stability: run x


Run w
This record from the Alexandria database describes an optimized crystal structure of CeThSn. The functional is PBE.

Structure (POSCAR):
```
CeThSn
1.0
-2.708 3.273 4.590
2.708 -3.273 4.590
2.708 3.273 -4.590
Ce Th Sn
2 2 2
Direct
0.148 0.148 0.000
0.852 0.852 0.000
0.327 0.827 0.500
0.673 0.173 0.500
0.258 0.500 0.758
0.742 0.500 0.242
```

* N(E_F): 5.5 states/eV/f.u.


Run x
This record from the Alexandria database describes an optimized crystal structure of CeThSn. The functional is PBE.

Structure (POSCAR):
```
CeThSn
1.0
-2.113 2.113 4.906
2.113 -2.113 4.906
2.113 2.113 -4.906
Ce Th Sn
1 1 1
Direct
0.000 0.000 0.000
0.293 0.293 0.000
0.645 0.645 0.000
```

* N(E_F): 6.5 states/eV/f.u.


Last place for stability: run w


Run w
This record from the Alexandria database describes an optimized crystal structure of CeThSn. The functional is PBE.

Structure (POSCAR):
```
CeThSn
1.0
5.500 0.000 0.000
-2.750 4.763 0.000
0.000 0.000 6.590
Ce Th Sn
2 2 2
Direct
0.333 0.667 0.250
0.667 0.333 0.750
0.000 0.000 0.000
0.000 0.000 0.500
0.333 0.667 0.750
0.667 0.333 0.250
```

* N(E_F): 6.1 states/eV/f.u.


Run x
This record from the Alexandria database describes an optimized crystal structure of CeThSn. The functional is PBE.

Structure (POSCAR):
```
CeThSn
1.0
5.337 0.000 0.000
-2.669 4.622 0.000
0.000 0.000 3.304
Ce Th Sn
1 1 1
Direct
0.000 0.000 0.000
0.333 0.667 0.000
0.667 0.333 0.500
```

* N(E_F): 5.9 states/eV/f.u.


Last place for stability: run x


Run w
This record from the Alexandria database describes an optimized crystal structure of Ce2ThSn2. The functional is PBE.

Structure (POSCAR):
```
Ce2ThSn2
1.0
5.081 0.000 0.000
-2.541 4.400 0.000
0.000 0.000 13.090
Ce Th Sn
4 2 4
Direct
0.333 0.667 0.027
0.333 0.667 0.473
0.667 0.333 0.527
0.667 0.333 0.973
0.333 0.667 0.750
0.667 0.333 0.250
0.000 0.000 0.128
0.000 0.000 0.372
0.000 0.000 0.628
0.000 0.000 0.872
```

* N(E_F): 12.5 states/eV/f.u.


Run x
This record from the Alexandria database describes an optimized crystal structure of Ce2ThSn2. The functional is PBE.

Structure (POSCAR):
```
Ce2ThSn2
1.0
8.970 0.000 0.000
0.000 8.970 0.000
0.000 0.000 3.568
Ce Th Sn
4 2 4
Direct
0.106 0.394 0.000
0.394 0.894 0.000
0.606 0.106 0.000
0.894 0.606 0.000
0.000 0.000 0.000
0.500 0.500 0.000
0.189 0.689 0.500
0.311 0.189 0.500
0.689 0.811 0.500
0.811 0.311 0.500
```

* N(E_F): 9.9 states/eV/f.u.


Last place for stability: run w